1.
Density functional theory data (PBE) for an optimized crystal structure of SrIn2Cu2.

Values from the calculation:
The formation energy is -0.2305 eV per atom. The value obtained for the total magnetization is 0.0 μB per cell. Its total energy is -3.30 eV per atom.

Cell: 4.3146 5.1041 5.8983 Å, 104.64 111.45 90.00°
Fractional coordinates of all 5 atoms:
In  0.3481  0.4258  0.6962
In  0.6519  0.5742  0.3038
Cu  0.7333  0.1214  0.4665
Cu  0.2667  0.8786  0.5335
Sr  0.0000  0.0000  0.0000


2.
Density functional theory data (PBE) for an optimized crystal structure of TaSi2BrN.

Values from the calculation:
The formation energy from raw total energies is 2.73 eV/atom. The value obtained for the total magnetization is 0.0 μB per cell. Its total energy is -3.81 eV per atom.

Cell: 4.8641 4.7426 4.8641 Å, 90.00 90.00 90.00°
Fractional coordinates of all 5 atoms:
Si  0.0000  0.0000  0.5000
Si  0.5000  0.0000  0.0000
Br  0.0000  0.0000  0.0000
Ta  0.0000  0.5000  0.0000
N  0.5000  0.5000  0.5000


3.
Density functional theory data (PBE) for an optimized crystal structure of KSrN2.

Values from the calculation:
The formation energy from raw total energies is 0.71 eV/atom. The value obtained for the total magnetization is 3.0 μB per cell. Its total energy is -4.15 eV per atom.

Cell: 4.6552 4.6552 4.6552 Å, 60.00 60.00 60.00°
Fractional coordinates of all 4 atoms:
Sr  0.5000  0.5000  0.5000
K  0.0000  0.0000  0.0000
N  0.7500  0.7500  0.7500
N  0.2500  0.2500  0.2500